## AgHgO2 (GGA-PBE)

Data for an optimized crystal structure of AgHgO2.

Cell: 3.9057 5.6776 6.1408 Å, 72.12 90.00 90.00°
Atoms (fractional coordinates):
Hg (0.0000, 0.0000, 0.0000)
Hg (0.5000, 0.0000, 0.5000)
O (0.2964, 0.7170, 0.2050)
O (0.2036, 0.7170, 0.7050)
O (0.7036, 0.2830, 0.7950)
O (0.7964, 0.2830, 0.2950)
Ag (0.5000, 0.5000, 0.0000)
Ag (0.0000, 0.5000, 0.5000)

Calculated values
- E: -3.42 eV per atom
- Total magnetic moment: 0.00 μB/cell


## AgHg2O (GGA-PBE)

Data for an optimized crystal structure of AgHg2O.

Cell: 3.3725 3.3725 7.6149 Å, 77.21 77.21 60.00°
Atoms (fractional coordinates):
Ag (0.5000, 0.5000, 0.5000)
Hg (0.7358, 0.7358, 0.7926)
Hg (0.2642, 0.2642, 0.2074)
O (0.0000, 0.0000, 0.0000)

Calculated values
- E: -2.13 eV per atom
- Total magnetic moment: 0.00 μB/cell


## AgHgO2 (GGA-PBE)

Data for an optimized crystal structure of AgHgO2.

Cell: 5.2931 5.2931 6.2384 Å, 64.90 64.90 90.00°
Atoms (fractional coordinates):
O (0.8750, 0.8644, 0.7500)
O (0.6144, 0.1250, 0.2500)
O (0.1356, 0.6250, 0.2500)
O (0.3750, 0.3856, 0.7500)
Ag (0.5000, 0.5000, 0.0000)
Ag (0.2500, 0.7500, 0.5000)
Hg (0.0000, 0.0000, 0.0000)
Hg (0.7500, 0.2500, 0.5000)

Calculated values
- E: -3.22 eV per atom
- Total magnetic moment: 0.00 μB/cell


## AgHg6O8 (GGA-PBE)

Data for an optimized crystal structure of AgHg6O8.

Cell: 6.4930 6.4930 6.4930 Å, 95.40 95.40 95.40°
Atoms (fractional coordinates):
O (0.6357, 0.4277, 0.1597)
O (0.4277, 0.1597, 0.6357)
O (0.8055, 0.8055, 0.8055)
O (0.3643, 0.5723, 0.8403)
O (0.1597, 0.6357, 0.4277)
O (0.5723, 0.8403, 0.3643)
O (0.8403, 0.3643, 0.5723)
O (0.1945, 0.1945, 0.1945)
Ag (0.0000, 0.0000, 0.0000)
Hg (0.8558, 0.7162, 0.4031)
Hg (0.2838, 0.5969, 0.1442)
Hg (0.4031, 0.8558, 0.7162)
Hg (0.7162, 0.4031, 0.8558)
Hg (0.1442, 0.2838, 0.5969)
Hg (0.5969, 0.1442, 0.2838)

Calculated values
- E: -2.99 eV per atom
- Total magnetic moment: 3.09 μB/cell


## Ag6HgO4 (GGA-PBE)

Data for an optimized crystal structure of Ag6HgO4.

Cell: 6.4226 6.4226 6.4226 Å, 96.08 116.56 116.56°
Atoms (fractional coordinates):
Hg (0.0000, 0.0000, 0.0000)
O (0.0000, 0.2440, 0.7555)
O (0.0000, 0.7555, 0.2440)
O (0.5114, 0.7560, 0.7560)
O (0.4886, 0.2445, 0.2445)
Ag (0.5000, 0.0003, 0.0003)
Ag (0.5000, 0.0000, 0.5000)
Ag (0.5000, 0.5002, 0.5002)
Ag (0.0000, 0.4998, 0.9997)
Ag (0.0000, 0.9997, 0.4998)
Ag (0.5000, 0.5000, 0.0000)

Calculated values
- E: -3.37 eV per atom
- Total magnetic moment: 0.00 μB/cell


## AgHg2O (GGA-PBE)

Data for an optimized crystal structure of AgHg2O.

Cell: 7.0755 7.0755 5.8255 Å, 52.61 52.61 90.00°
Atoms (fractional coordinates):
O (0.2500, 0.7500, 0.5000)
O (0.5000, 0.5000, 0.0000)
Hg (0.5694, 0.1250, 0.2500)
Hg (0.1805, 0.6250, 0.2500)
Hg (0.8750, 0.8194, 0.7500)
Hg (0.3750, 0.4306, 0.7500)
Ag (0.7500, 0.2500, 0.5000)
Ag (0.0000, 0.0000, 0.0000)

Calculated values
- E: -2.04 eV per atom
- Total magnetic moment: 0.00 μB/cell


## AgHg5O6 (GGA-PBE)

Data for an optimized crystal structure of AgHg5O6.

Cell: 6.1531 6.1534 6.1534 Å, 116.15 98.42 98.42°
Atoms (fractional coordinates):
O (0.7585, 0.3528, 0.3528)
O (0.2319, 0.2932, 0.9764)
O (0.2415, 0.6472, 0.6472)
O (0.7681, 0.0236, 0.7068)
O (0.7681, 0.7068, 0.0236)
O (0.2319, 0.9764, 0.2932)
Hg (0.5000, 0.5000, 0.5000)
Hg (0.0000, 0.6667, 0.3333)
Hg (0.5000, 0.8406, 0.1594)
Hg (0.0000, 0.3333, 0.6667)
Hg (0.5000, 0.1594, 0.8406)
Ag (0.0000, 0.0000, 0.0000)

Calculated values
- E: -3.04 eV per atom
- Total magnetic moment: 0.88 μB/cell


## Ag2HgO (GGA-PBE)

Data for an optimized crystal structure of Ag2HgO.

Cell: 4.5666 4.5666 4.5666 Å, 60.00 60.00 60.00°
Atoms (fractional coordinates):
Hg (0.5000, 0.5000, 0.5000)
O (0.0000, 0.0000, 0.0000)
Ag (0.2500, 0.2500, 0.2500)
Ag (0.7500, 0.7500, 0.7500)

Calculated values
- E: -2.52 eV per atom
- Total magnetic moment: 0.00 μB/cell


## Ag2HgO (GGA-PBE)

Data for an optimized crystal structure of Ag2HgO.

Cell: 3.3010 3.3010 7.4704 Å, 77.24 77.24 60.00°
Atoms (fractional coordinates):
Ag (0.7315, 0.7315, 0.8054)
Ag (0.2685, 0.2685, 0.1946)
O (0.0000, 0.0000, 0.0000)
Hg (0.5000, 0.5000, 0.5000)

Calculated values
- E: -2.70 eV per atom
- Total magnetic moment: 0.02 μB/cell


## AgHgO (GGA-PBE)

Data for an optimized crystal structure of AgHgO.

Cell: 5.0778 3.3288 3.3288 Å, 120.00 90.00 90.00°
Atoms (fractional coordinates):
Hg (0.2877, 0.3333, 0.6667)
O (0.0031, 0.0000, 0.0000)
Ag (0.7092, 0.6667, 0.3333)

Calculated values
- E: -2.75 eV per atom
- Total magnetic moment: 0.00 μB/cell


## Ag2HgO2 (GGA-PBE)

Data for an optimized crystal structure of Ag2HgO2.

Cell: 6.3970 6.3970 6.0851 Å, 121.71 121.71 90.00°
Atoms (fractional coordinates):
O (0.4363, 0.1643, 0.3285)
O (0.8923, 0.1643, 0.3285)
O (0.4143, 0.6423, 0.8285)
O (0.4143, 0.1863, 0.8285)
Ag (0.1591, 0.4323, 0.8646)
Ag (0.6823, 0.9091, 0.3646)
Ag (0.6823, 0.4555, 0.3646)
Ag (0.7055, 0.4323, 0.8646)
Hg (0.2375, 0.7375, 0.4751)
Hg (0.9875, 0.9875, 0.9751)

Calculated values
- E: -2.99 eV per atom
- Total magnetic moment: 2.41 μB/cell


## AgHg4O5 (GGA-PBE)

Data for an optimized crystal structure of AgHg4O5.

Cell: 5.3787 5.9768 5.9768 Å, 78.32 63.26 63.26°
Atoms (fractional coordinates):
O (0.9520, 0.3317, 0.7663)
O (0.2836, 0.7663, 0.6683)
O (0.5010, 0.0000, 0.0000)
O (0.0499, 0.6683, 0.2337)
O (0.7183, 0.2337, 0.3317)
Hg (0.5888, 0.6210, 0.2037)
Hg (0.7925, 0.7963, 0.6210)
Hg (0.4135, 0.3790, 0.7963)
Hg (0.2098, 0.2037, 0.3790)
Ag (0.0010, 0.0000, 0.0000)

Calculated values
- E: -2.98 eV per atom
- Total magnetic moment: 0.00 μB/cell